1.
NiBr2Cl8 after structural relaxation. Source: Alexandria, functional PBE.

abc: 8.0273 5.4117 11.0932
angles: 112.92 111.56 90.51
Last column: nearest neighbours and their distance in Å.
Sites, in units of the cell vectors:
1 Cl 0.4096 0.1008 0.8204  1 Ni 2.14
2 Cl 0.0320 0.2066 0.0655  1 Cl 2.06
3 Cl 0.7791 0.9105 0.5580  1 Br 2.17
4 Cl 0.2211 0.0900 0.4417  1 Br 2.17
5 Cl 0.5902 0.8984 0.1799  1 Ni 2.14
6 Cl 0.9683 0.7941 0.9343  1 Cl 2.06
7 Cl 0.4113 0.6040 0.8235  1 Ni 2.15
8 Cl 0.5885 0.3953 0.1767  1 Ni 2.15
9 Br 0.8283 0.3536 0.6598  1 Cl 2.17
10 Br 0.1720 0.6469 0.3401  1 Cl 2.17
11 Ni 0.4998 0.9997 0.0001  4 Cl 2.14-2.15

Calculated values
total DFT energy (no corrections) = -24.43 eV per cell
total magnetic moment = 0.061 μB per atom
uncorrected formation energy = -0.05 eV per atom

2.
TlNi3Os after structural relaxation. Source: Alexandria, functional PBE.

abc: 4.5782 4.5782 4.5782
angles: 90.00 90.00 90.00
Last column: nearest neighbours and their distance in Å.
Sites, in units of the cell vectors:
1 Ni 0.5000 0.0000 0.0000  2 Os 2.29
2 Ni 0.0000 0.0000 0.5000  2 Os 2.29
3 Ni 0.0000 0.5000 0.0000  2 Os 2.29
4 Os 0.0000 0.0000 0.0000  6 Ni 2.29
5 Tl 0.5000 0.5000 0.5000  12 Ni 3.24

Calculated values
total DFT energy (no corrections) = -25.20 eV per cell
total magnetic moment = 0.000 μB per atom
formation energy from the elements = 1.15 eV/atom
distance to the lowest polymorph of the same formula = 0 meV per atom

3.
PaF3 after structural relaxation. Source: Alexandria, functional PBE.

abc: 4.1439 4.1439 4.1439
angles: 60.00 60.00 60.00
Last column: nearest neighbours and their distance in Å.
Sites, in units of the cell vectors:
1 F 0.0000 0.0000 0.0000  8 F 2.54
2 F 0.2500 0.2500 0.2500  4 F 2.54, 4 Pa 2.54
3 F 0.7500 0.7500 0.7500  4 Pa 2.54, 4 F 2.54
4 Pa 0.5000 0.5000 0.5000  8 F 2.54

Calculated values
total DFT energy (no corrections) = -28.07 eV per cell
total magnetic moment = 0.500 μB per atom
uncorrected formation energy = -3.24 eV per atom
distance to the lowest polymorph of the same formula = 64 meV per atom